Crystalline Pm3CdPb3 at its relaxed geometry. Source: Alexandria, functional PBE-GGA.

Cell lengths 12.0060, 4.7046, 15.5480 Å; angles 90.00, 107.72, 90.00 degrees
Space group C2/m (No. 12)
Asymmetric unit:
Pm: 0.0159 0.0000 0.3766 x4
Pm: 0.1001 0.0000 0.9232 x4
Pm: 0.2265 0.0000 0.2250 x4
Cd: 0.2240 0.5000 0.3730 x4
Pb: 0.0043 0.5000 0.7746 x4
Pb: 0.1284 0.5000 0.0749 x4
Pb: 0.1403 0.5000 0.5430 x4

Output
* calculated formation energy: -0.47 eV per atom
* E_tot: -4.224 eV/atom
* distance to the lowest polymorph of the same formula: 0.000 eV per atom